1.
Here is a geometry-optimized SrInPb2 structure from the Alexandria database. Energies are from PBE.

As for the total DFT energy (no corrections): -3.29 eV/atom. The total magnetic moment is 0.00 μB per atom. For the energy relative to the elements, the calculation gives -327 meV/atom. Its crystal system is tetragonal.

a = 5.0201 Å, b = 5.0201 Å, c = 4.9054 Å
α = 90.00°, β = 90.00°, γ = 90.00°
With the nearest neighbours (Å) after each atom.
Space group P4/mmm (No. 123)
Inequivalent atoms, fractional coordinates:
Sr  0.0000  0.0000  0.0000  8 Pb 3.51, 4 In 3.55
In  0.5000  0.5000  0.0000  8 Pb 3.51, 4 Sr 3.55
Pb  0.0000  0.5000  0.5000  4 In 3.51, 4 Sr 3.51, 4 Pb 3.55

2.
Here is a geometry-optimized Mg3MnNi structure from the Alexandria database. Energies are from PBE.

Its energy above the most stable polymorph in this dataset is 0.000 eV/atom. As for the total DFT energy (no corrections): -3.53 eV/atom. The total magnetic moment is 0.88 μB per atom. For the energy relative to the elements, the calculation gives 412 meV/atom. Its crystal system is cubic.

a = 4.7559 Å, b = 4.7559 Å, c = 4.7559 Å
α = 90.00°, β = 90.00°, γ = 90.00°
With the nearest neighbours (Å) after each atom.
Space group Pm-3m (No. 221)
Inequivalent atoms, fractional coordinates:
Mg  0.0000  0.0000  0.5000  2 Ni 2.38
Mn  0.5000  0.5000  0.5000  12 Mg 3.36
Ni  0.0000  0.0000  0.0000  6 Mg 2.38